Record 1
The following is a DFT calculation (GGA-PBE) of crystalline ZrZnAgSn at its relaxed geometry.

Values from the calculation:
**Energy of formation**: -278 meV per atom
**Space-group type**: Pmmm, No. 47
**M_tot**: 0.0 μB per cell
**Theoretical density**: 8.16 g/cm³

abc: 4.137 4.262 4.421
angles: 90.00 90.00 90.00
Fractional coordinates of all 4 atoms:
Zr  0.500  0.500  0.000
Ag  0.500  0.000  0.500
Sn  0.000  0.000  0.000
Zn  0.000  0.500  0.500

=====

Record 2
The following is a DFT calculation (GGA-PBE) of crystalline Zr6AgSn at its relaxed geometry.

Values from the calculation:
**Energy of formation**: 200 meV per atom
**Space-group type**: C2/m, No. 12
**M_tot**: 0.0 μB per cell
**Theoretical density**: 6.53 g/cm³

abc: 5.244 5.244 8.008
angles: 74.98 74.98 70.49
Fractional coordinates of all 8 atoms:
Zr  0.554  0.061  0.300
Zr  0.061  0.554  0.300
Zr  0.353  0.353  0.946
Zr  0.647  0.647  0.054
Zr  0.446  0.939  0.700
Zr  0.939  0.446  0.700
Ag  0.000  0.000  0.000
Sn  0.500  0.500  0.500

=====

Record 3
The following is a DFT calculation (GGA-PBE) of crystalline ZrAgSn3 at its relaxed geometry.

Values from the calculation:
**Energy of formation**: 500 meV per atom
**E above lowest polymorph**: 0.000 eV/atom
**Space-group type**: Pm-3m, No. 221
**M_tot**: 0.0 μB per cell
**Theoretical density**: 5.39 g/cm³

abc: 5.551 5.551 5.551
angles: 90.00 90.00 90.00
Fractional coordinates of all 5 atoms:
Sn  0.000  0.500  0.000
Sn  0.000  0.000  0.500
Sn  0.500  0.000  0.000
Ag  0.500  0.500  0.500
Zr  0.000  0.000  0.000

=====

What did the second record say?
The following is a DFT calculation (GGA-PBE) of crystalline Zr6AgSn at its relaxed geometry.

Values from the calculation:
**Energy of formation**: 200 meV per atom
**Space-group type**: C2/m, No. 12
**M_tot**: 0.0 μB per cell
**Theoretical density**: 6.53 g/cm³

abc: 5.244 5.244 8.008
angles: 74.98 74.98 70.49
Fractional coordinates of all 8 atoms:
Zr  0.554  0.061  0.300
Zr  0.061  0.554  0.300
Zr  0.353  0.353  0.946
Zr  0.647  0.647  0.054
Zr  0.446  0.939  0.700
Zr  0.939  0.446  0.700
Ag  0.000  0.000  0.000
Sn  0.500  0.500  0.500

=====

What is the formula in the first record?
ZrZnAgSn

=====

The highest theoretical density belongs to which entry?
ZrZnAgSn